1) This record from the Alexandria database describes a relaxed CdReS2Cl crystal. The functional is PBE-GGA.

Structure (extended XYZ):
```
5
Lattice="4.587 0.000 0.000 0.000 4.587 0.000 0.000 0.000 5.136" Properties=species:S:1:pos:R:3 pbc="T T T"
Cd 0.000 0.000 0.000
Re 2.293 2.293 2.568
S 0.000 2.293 2.568
S 2.293 0.000 2.568
Cl 2.293 2.293 0.000
```

2) This record from the Alexandria database describes a relaxed CdReS2Cl crystal. The functional is PBE-GGA.

Structure (extended XYZ):
```
5
Lattice="5.009 0.000 0.000 0.000 5.009 0.000 0.000 0.000 4.966" Properties=species:S:1:pos:R:3 pbc="T T T"
Cd 0.000 0.000 0.000
Re 2.504 2.504 2.483
S 0.000 2.504 0.000
S 2.504 0.000 0.000
Cl 0.000 0.000 2.483
```

Which one sits at the bottom of the stability order? 2) does.

1) This record from the Alexandria database describes a relaxed CdRhCl crystal. The functional is PBE-GGA.

Structure (extended XYZ):
```
3
Lattice="4.375 0.000 0.000 -2.187 3.789 0.000 0.000 0.000 3.276" Properties=species:S:1:pos:R:3 pbc="T T T"
Cd 0.000 0.000 0.000
Rh 0.000 2.526 1.638
Cl 2.187 1.263 1.638
```

2) This record from the Alexandria database describes a relaxed CdRhCl crystal. The functional is PBE-GGA.

Structure (extended XYZ):
```
3
Lattice="3.278 0.000 0.000 -1.639 2.839 0.000 0.000 0.000 6.035" Properties=species:S:1:pos:R:3 pbc="T T T"
Cd 0.000 0.000 0.000
Rh 0.000 1.893 4.036
Cl 1.639 0.946 2.239
```

Which one sits at the bottom of the stability order? 1) does.

1) This record from the Alexandria database describes a relaxed Cd2RhCl crystal. The functional is PBE-GGA.

Structure (extended XYZ):
```
4
Lattice="3.244 0.000 0.000 0.000 3.244 0.000 0.000 0.000 7.484" Properties=species:S:1:pos:R:3 pbc="T T T"
Cd 0.000 0.000 1.627
Cd 0.000 0.000 5.857
Rh 1.622 1.622 0.000
Cl 1.622 1.622 3.742
```

2) This record from the Alexandria database describes a relaxed Cd2RhCl crystal. The functional is PBE-GGA.

Structure (extended XYZ):
```
16
Lattice="7.697 0.000 0.000 0.000 7.697 0.000 0.000 0.000 5.671" Properties=species:S:1:pos:R:3 pbc="T T T"
Cd 1.825 1.924 0.709
Cd 1.924 5.674 2.127
Cd 1.924 5.871 4.962
Cd 2.023 1.924 3.544
Cd 5.674 5.773 3.544
Cd 5.773 1.825 4.962
Cd 5.773 2.023 2.127
Cd 5.871 5.773 0.709
Rh 0.000 0.000 0.000
Rh 0.000 3.848 1.418
Rh 3.848 0.000 4.253
Rh 3.848 3.848 2.836
Cl 0.000 0.000 2.836
Cl 0.000 3.848 4.253
Cl 3.848 0.000 1.418
Cl 3.848 3.848 0.000
```

Which one sits at the bottom of the stability order? 2) does.

1) This record from the Alexandria database describes a relaxed CdRu2Cl crystal. The functional is PBE-GGA.

Structure (extended XYZ):
```
8
Lattice="5.681 0.000 0.000 0.000 8.298 0.000 0.000 0.000 2.879" Properties=species:S:1:pos:R:3 pbc="T T T"
Cd 0.000 0.000 0.000
Cd 2.841 4.149 0.000
Ru 1.420 2.074 1.439
Ru 1.420 6.223 1.439
Ru 4.261 2.074 1.439
Ru 4.261 6.223 1.439
Cl 0.000 4.149 0.000
Cl 2.841 0.000 0.000
```

2) This record from the Alexandria database describes a relaxed CdRu2Cl crystal. The functional is PBE-GGA.

Structure (extended XYZ):
```
4
Lattice="3.866 0.000 0.000 0.000 3.866 0.000 0.000 0.000 4.879" Properties=species:S:1:pos:R:3 pbc="T T T"
Cd 0.000 0.000 0.000
Ru 0.000 1.933 2.440
Ru 1.933 0.000 2.440
Cl 1.933 1.933 0.000
```

Which one sits at the bottom of the stability order? 2) does.

1) This record from the Alexandria database describes a relaxed CdRu2Cl crystal. The functional is PBE-GGA.

Structure (extended XYZ):
```
12
Lattice="2.954 0.000 0.000 -1.477 2.558 0.000 0.000 0.000 26.447" Properties=species:S:1:pos:R:3 pbc="T T T"
Cd 0.000 0.000 0.000
Cd 0.000 1.705 17.631
Cd 1.477 0.853 8.816
Ru 0.000 0.000 6.475
Ru 0.000 0.000 13.361
Ru 0.000 1.705 4.545
Ru 0.000 1.705 24.106
Ru 1.477 0.853 15.291
Ru 1.477 0.853 22.177
Cl 0.000 0.000 20.205
Cl 0.000 1.705 11.390
Cl 1.477 0.853 2.574
```

2) This record from the Alexandria database describes a relaxed CdRu2Cl crystal. The functional is PBE-GGA.

Structure (extended XYZ):
```
4
Lattice="3.069 0.000 0.000 0.000 4.233 0.000 0.000 0.000 5.196" Properties=species:S:1:pos:R:3 pbc="T T T"
Cd 0.000 0.000 0.000
Ru 1.534 2.116 1.278
Ru 1.534 2.116 3.918
Cl 1.534 0.000 2.598
```

Which one sits at the bottom of the stability order? 2) does.

1) This record from the Alexandria database describes a relaxed CdRu3Cl crystal. The functional is PBE-GGA.

Structure (extended XYZ):
```
5
Lattice="4.379 0.000 0.000 0.000 4.379 0.000 0.000 0.000 4.379" Properties=species:S:1:pos:R:3 pbc="T T T"
Cd 0.000 0.000 0.000
Ru 0.000 2.189 2.189
Ru 2.189 0.000 2.189
Ru 2.189 2.189 0.000
Cl 2.189 2.189 2.189
```

2) This record from the Alexandria database describes a relaxed CdRu3Cl crystal. The functional is PBE-GGA.

Structure (extended XYZ):
```
5
Lattice="5.035 0.000 0.000 0.000 5.035 0.000 0.000 0.000 5.035" Properties=species:S:1:pos:R:3 pbc="T T T"
Cd 0.000 0.000 0.000
Ru 0.000 0.000 2.517
Ru 0.000 2.517 0.000
Ru 2.517 0.000 0.000
Cl 2.517 2.517 2.517
```

Which one sits at the bottom of the stability order? 2) does.

1) This record from the Alexandria database describes a relaxed CdRuS2Cl crystal. The functional is PBE-GGA.

Structure (extended XYZ):
```
5
Lattice="4.605 0.000 0.000 0.000 4.605 0.000 0.000 0.000 4.964" Properties=species:S:1:pos:R:3 pbc="T T T"
Cd 0.000 0.000 0.000
Ru 2.302 2.302 2.482
S 0.000 2.302 2.482
S 2.302 0.000 2.482
Cl 2.302 2.302 0.000
```

2) This record from the Alexandria database describes a relaxed CdRuS2Cl crystal. The functional is PBE-GGA.

Structure (extended XYZ):
```
5
Lattice="4.960 0.000 0.000 0.000 4.960 0.000 0.000 0.000 5.089" Properties=species:S:1:pos:R:3 pbc="T T T"
Cd 0.000 0.000 0.000
Ru 2.480 2.480 2.544
S 0.000 2.480 0.000
S 2.480 0.000 0.000
Cl 0.000 0.000 2.544
```

Which one sits at the bottom of the stability order? 2) does.

1) This record from the Alexandria database describes a relaxed Cd2SCl crystal. The functional is PBE-GGA.

Structure (extended XYZ):
```
16
Lattice="6.216 0.000 0.000 0.000 6.216 0.000 0.000 0.000 12.598" Properties=species:S:1:pos:R:3 pbc="T T T"
Cd 1.345 1.554 1.575
Cd 1.554 4.453 4.724
Cd 1.554 4.871 11.023
Cd 1.763 1.554 7.874
Cd 4.453 4.662 7.874
Cd 4.662 1.345 11.023
Cd 4.662 1.763 4.724
Cd 4.871 4.662 1.575
S 0.000 0.000 0.000
S 0.000 3.108 3.149
S 3.108 0.000 9.448
S 3.108 3.108 6.299
Cl 0.000 0.000 6.299
Cl 0.000 3.108 9.448
Cl 3.108 0.000 3.149
Cl 3.108 3.108 0.000
```

2) This record from the Alexandria database describes a relaxed Cd2SCl crystal. The functional is PBE-GGA.

Structure (extended XYZ):
```
16
Lattice="6.945 0.000 0.000 0.000 6.945 0.000 0.000 0.000 6.945" Properties=species:S:1:pos:R:3 pbc="T T T"
Cd 1.736 1.736 1.736
Cd 1.736 1.736 5.209
Cd 1.736 5.209 1.736
Cd 1.736 5.209 5.209
Cd 5.209 1.736 1.736
Cd 5.209 1.736 5.209
Cd 5.209 5.209 1.736
Cd 5.209 5.209 5.209
S 0.000 0.000 0.000
S 0.000 3.472 3.472
S 3.472 0.000 3.472
S 3.472 3.472 0.000
Cl 0.000 0.000 3.472
Cl 0.000 3.472 0.000
Cl 3.472 0.000 0.000
Cl 3.472 3.472 3.472
```

Which one sits at the bottom of the stability order? 2) does.